## Na3Er3SiS8 (PBE-GGA)

Data for a relaxed structure of Na3Er3SiS8.

Properties
Its crystal system is trigonal. The total energy is -78.9 eV for the cell shown. For the uncorrected formation energy, the calculation gives -1.52 eV/atom. As for the volume: 23.07 Å³ per atom.

Unit cell a=7.694 b=7.694 c=8.081 alpha=118.43 beta=90.00 gamma=120.00
Sites, in units of the cell vectors:
Na1 0.000 0.000 0.000
Na2 0.000 0.500 0.000
Na3 0.500 0.500 0.000
Er1 0.500 0.000 0.500
Er2 0.500 0.500 0.500
Er3 0.000 0.500 0.500
Si1 0.000 0.000 0.500
S1 0.258 0.517 0.275
S2 0.742 0.483 0.725
S3 0.785 0.570 0.296
S4 0.215 0.430 0.704
S5 0.785 0.011 0.296
S6 0.215 0.989 0.704
S7 0.226 0.011 0.296
S8 0.774 0.989 0.704